1.
# KBa3Ge (PBE, relaxed)
data_KBa3Ge
_chemical_formula_sum 'K1 Ba3 Ge1'
_cell_length_a 6.664
_cell_length_b 6.664
_cell_length_c 6.664
_cell_angle_alpha 90.00
_cell_angle_beta 90.00
_cell_angle_gamma 90.00
_symmetry_space_group_name_H-M 'P 1'
_symmetry_Int_Tables_number 1
loop_
_symmetry_equiv_pos_as_xyz
'x,y,z'
loop_
_atom_site_label
_atom_site_fract_x
_atom_site_fract_y
_atom_site_fract_z
K1 0.000 0.000 0.000
Ba1 0.000 0.500 0.500
Ba2 0.500 0.000 0.500
Ba3 0.500 0.500 0.000
Ge1 0.500 0.500 0.500
# Calculated volume ... 59.18 A^3/atom
# Space-group type ... Pm-3m


2.
# KBa3Ge (PBE, relaxed)
data_KBa3Ge
_chemical_formula_sum 'K1 Ba3 Ge1'
_cell_length_a 6.478
_cell_length_b 6.478
_cell_length_c 6.478
_cell_angle_alpha 90.00
_cell_angle_beta 90.00
_cell_angle_gamma 90.00
_symmetry_space_group_name_H-M 'P 1'
_symmetry_Int_Tables_number 1
loop_
_symmetry_equiv_pos_as_xyz
'x,y,z'
loop_
_atom_site_label
_atom_site_fract_x
_atom_site_fract_y
_atom_site_fract_z
K1 0.000 0.000 0.000
Ba1 0.000 0.000 0.500
Ba2 0.000 0.500 0.000
Ba3 0.500 0.000 0.000
Ge1 0.500 0.500 0.500
# Calculated volume ... 54.36 A^3/atom
# Space-group type ... Pm-3m


In order of decreasing stability: 1, 2.


1.
# KBaGe2 (PBE, relaxed)
data_KBaGe2
_chemical_formula_sum 'K1 Ba1 Ge2'
_cell_length_a 5.654
_cell_length_b 5.654
_cell_length_c 5.654
_cell_angle_alpha 60.00
_cell_angle_beta 60.00
_cell_angle_gamma 60.00
_symmetry_space_group_name_H-M 'P 1'
_symmetry_Int_Tables_number 1
loop_
_symmetry_equiv_pos_as_xyz
'x,y,z'
loop_
_atom_site_label
_atom_site_fract_x
_atom_site_fract_y
_atom_site_fract_z
K1 0.000 0.000 0.000
Ba1 0.500 0.500 0.500
Ge1 0.250 0.250 0.250
Ge2 0.750 0.750 0.750
# Calculated volume ... 31.95 A^3/atom
# Space-group type ... Fm-3m


2.
# KBaGe2 (PBE, relaxed)
data_KBaGe2
_chemical_formula_sum 'K2 Ba2 Ge4'
_cell_length_a 7.215
_cell_length_b 7.215
_cell_length_c 7.215
_cell_angle_alpha 100.81
_cell_angle_beta 100.81
_cell_angle_gamma 128.68
_symmetry_space_group_name_H-M 'P 1'
_symmetry_Int_Tables_number 1
loop_
_symmetry_equiv_pos_as_xyz
'x,y,z'
loop_
_atom_site_label
_atom_site_fract_x
_atom_site_fract_y
_atom_site_fract_z
K1 0.000 0.000 0.000
K2 0.750 0.250 0.500
Ba1 0.250 0.750 0.500
Ba2 0.500 0.500 0.000
Ge1 0.123 0.625 0.998
Ge2 0.375 0.373 0.498
Ge3 0.627 0.125 0.002
Ge4 0.875 0.877 0.502
# Calculated volume ... 33.03 A^3/atom
# Space-group type ... I-42d


In order of decreasing stability: 1, 2.